# AcY3Sb3 (PBE-GGA, relaxed)
data_AcY3Sb3
_cell_length_a 9.3319
_cell_length_b 9.3319
_cell_length_c 5.7138
_cell_angle_alpha 90.00
_cell_angle_beta 90.00
_cell_angle_gamma 120.00
_space_group_name_H-M_alt 'P 1'
_space_group_IT_number 1
_space_group_name_Hall 'P 1'
loop_
_atom_site_label
_atom_site_type_symbol
_atom_site_fract_x
_atom_site_fract_y
_atom_site_fract_z
Ac1 Ac 0.3333 0.6667 0.2500
Ac2 Ac 0.6667 0.3333 0.7500
Y1 Y 0.0131 0.7673 0.2500
Y2 Y 0.2327 0.2458 0.2500
Y3 Y 0.2458 0.0131 0.7500
Y4 Y 0.7542 0.9869 0.2500
Y5 Y 0.7673 0.7542 0.7500
Y6 Y 0.9869 0.2327 0.7500
Sb1 Sb 0.0587 0.6419 0.7500
Sb2 Sb 0.3581 0.4168 0.7500
Sb3 Sb 0.4168 0.0587 0.2500
Sb4 Sb 0.5832 0.9413 0.7500
Sb5 Sb 0.6419 0.5832 0.2500
Sb6 Sb 0.9413 0.3581 0.2500
# **Spin magnetization**: 0.000 μB/atom
# **Electronic total energy**: -41.7 eV/f.u.
# **ΔE_f (raw)**: -838 meV/atom
# **Space group**: P6_3/m (176)